# 1
CaTe2Mo after structural relaxation. Source: Alexandria via LeMat-Bulk, functional GGA-PBEsol.

Output
Its size of the total moment is 0.904 μB/atom. The density of states at the Fermi level comes out at 0.88 states/eV/atom. As for the symmetry: No. 216. The energy relative to the lowest polymorph listed for this composition is 886 meV/atom.

abc: 5.1997 5.1997 5.1997
angles: 60.00 60.00 60.00
Last column: nearest neighbours and their distance in Å.
Sites, in units of the cell vectors:
Ca 0.5000 0.5000 0.5000  4 Mo 3.18, 4 Te 3.18
Mo 0.2500 0.2500 0.2500  4 Ca 3.18, 4 Te 3.18
Te 0.7500 0.7500 0.7500  4 Ca 3.18, 4 Te 3.18
Te 0.0000 0.0000 0.0000  4 Te 3.18, 4 Mo 3.18

# 2
TiRuS2Cl after structural relaxation. Source: Alexandria via LeMat-Bulk, functional GGA-PBEsol.

Output
Its size of the total moment is 0.282 μB/atom. The density of states at the Fermi level comes out at 1.59 states/eV/atom. As for the symmetry: No. 123.

abc: 4.5278 4.5278 4.6135
angles: 90.00 90.00 90.00
Last column: nearest neighbours and their distance in Å.
Sites, in units of the cell vectors:
Ru 0.0000 0.0000 0.0000  4 S 2.26, 2 Cl 2.31
Cl 0.0000 0.0000 0.5000  2 Ru 2.31
S 0.5000 0.0000 0.0000  2 Ru 2.26
S 0.0000 0.5000 0.0000  2 Ru 2.26
Ti 0.5000 0.5000 0.5000  4 Cl 3.20, 8 S 3.23

no.,formation energy (no corrections) (kcal/mol of atoms)
1,10.8
2,4.6